Material: AcNpO3
Method: DFT, PBE
State: relaxed

Values from the calculation:
formation energy (no corrections)	-2.671	eV per atom

Unit cell a=4.4234 b=4.4234 c=4.4234 alpha=90.00 beta=90.00 gamma=90.00
Atoms (fractional coordinates):
Ac: 0.0000 0.0000 0.0000
Np: 0.5000 0.5000 0.5000
O: 0.0000 0.5000 0.5000
O: 0.5000 0.0000 0.5000
O: 0.5000 0.5000 0.0000

Material: Ac4Np6O19
Method: DFT, PBE
State: relaxed

Values from the calculation:
formation energy (no corrections)	-3.084	eV per atom

Unit cell a=8.6918 b=8.6918 c=8.6918 alpha=109.47 beta=109.47 gamma=109.47
Atoms (fractional coordinates):
Ac: 0.0000 0.0000 0.2959
Ac: 0.0000 0.2959 0.0000
Ac: 0.2959 0.0000 0.0000
Ac: 0.7041 0.7041 0.7041
Np: 0.1714 0.5000 0.6714
Np: 0.3286 0.8286 0.5000
Np: 0.5000 0.3286 0.8286
Np: 0.5000 0.6714 0.1714
Np: 0.6714 0.1714 0.5000
Np: 0.8286 0.5000 0.3286
O: 0.0000 0.0000 0.0000
O: 0.0000 0.3603 0.3603
O: 0.0000 0.6397 0.6397
O: 0.0289 0.7469 0.3460
O: 0.2531 0.2821 0.5992
O: 0.2821 0.5992 0.2531
O: 0.3171 0.7179 0.9711
O: 0.3460 0.0289 0.7469
O: 0.3603 0.0000 0.3603
O: 0.3603 0.3603 0.0000
O: 0.4008 0.6829 0.6540
O: 0.5992 0.2531 0.2821
O: 0.6397 0.0000 0.6397
O: 0.6397 0.6397 0.0000
O: 0.6540 0.4008 0.6829
O: 0.6829 0.6540 0.4008
O: 0.7179 0.9711 0.3171
O: 0.7469 0.3460 0.0289
O: 0.9711 0.3171 0.7179

Please write out number 2 again, unchanged.
Material: Ac4Np6O19
Method: DFT, PBE
State: relaxed

Values from the calculation:
formation energy (no corrections)	-3.084	eV per atom

Unit cell a=8.6918 b=8.6918 c=8.6918 alpha=109.47 beta=109.47 gamma=109.47
Atoms (fractional coordinates):
Ac: 0.0000 0.0000 0.2959
Ac: 0.0000 0.2959 0.0000
Ac: 0.2959 0.0000 0.0000
Ac: 0.7041 0.7041 0.7041
Np: 0.1714 0.5000 0.6714
Np: 0.3286 0.8286 0.5000
Np: 0.5000 0.3286 0.8286
Np: 0.5000 0.6714 0.1714
Np: 0.6714 0.1714 0.5000
Np: 0.8286 0.5000 0.3286
O: 0.0000 0.0000 0.0000
O: 0.0000 0.3603 0.3603
O: 0.0000 0.6397 0.6397
O: 0.0289 0.7469 0.3460
O: 0.2531 0.2821 0.5992
O: 0.2821 0.5992 0.2531
O: 0.3171 0.7179 0.9711
O: 0.3460 0.0289 0.7469
O: 0.3603 0.0000 0.3603
O: 0.3603 0.3603 0.0000
O: 0.4008 0.6829 0.6540
O: 0.5992 0.2531 0.2821
O: 0.6397 0.0000 0.6397
O: 0.6397 0.6397 0.0000
O: 0.6540 0.4008 0.6829
O: 0.6829 0.6540 0.4008
O: 0.7179 0.9711 0.3171
O: 0.7469 0.3460 0.0289
O: 0.9711 0.3171 0.7179

What is the formation energy (no corrections) in the first record?
-2.671 eV per atom